# 1
# Er5ZnCu4

Er5ZnCu4 after structural relaxation (PBE, the Alexandria database).

Properties
**SG**: P4/mmm (123)

Lattice parameters (Å, degrees): 3.4476 3.4476 17.3325 90.00 90.00 90.00
Closest atoms and distances in Å follow each position.
Fractional positions:
Er1 0.0000 0.0000 0.0000  8 Cu 2.98
Er2 0.0000 0.0000 0.1985  8 Cu 2.98-2.99
Er3 0.0000 0.0000 0.3960  4 Cu 2.96, 4 Zn 3.03
Er4 0.0000 0.0000 0.6040  4 Cu 2.96, 4 Zn 3.03
Er5 0.0000 0.0000 0.8015  8 Cu 2.98-2.99
Zn1 0.5000 0.5000 0.5000  8 Er 3.03
Cu1 0.5000 0.5000 0.0992  8 Er 2.98
Cu2 0.5000 0.5000 0.2988  8 Er 2.96-2.99
Cu3 0.5000 0.5000 0.7012  8 Er 2.96-2.99
Cu4 0.5000 0.5000 0.9008  8 Er 2.98

=====

# 2
# Er4ZnCu

Er4ZnCu after structural relaxation (PBE, the Alexandria database).

Properties
**ΔE to the lowest computed polymorph**: 4.51 kcal/mol of atoms
**SG**: P4/mmm (123)

Lattice parameters (Å, degrees): 4.8336 4.8336 6.8872 90.00 90.00 90.00
Closest atoms and distances in Å follow each position.
Fractional positions:
Er1 0.0000 0.5000 0.2444  2 Cu 2.95, 2 Zn 2.99
Er2 0.0000 0.5000 0.7556  2 Cu 2.95, 2 Zn 2.99
Er3 0.5000 0.0000 0.2444  2 Cu 2.95, 2 Zn 2.99
Er4 0.5000 0.0000 0.7556  2 Cu 2.95, 2 Zn 2.99
Zn1 0.0000 0.0000 0.5000  8 Er 2.99
Cu1 0.5000 0.5000 0.0000  8 Er 2.95

=====

# 3
# Er2ZnCu9

Er2ZnCu9 after structural relaxation (PBE, the Alexandria database).

Properties
**SG**: R-3m (166)

Lattice parameters (Å, degrees): 8.6796 8.6796 8.6796 33.89 33.89 33.89
Closest atoms and distances in Å follow each position.
Fractional positions:
Er1 0.1351 0.1351 0.1351  9 Cu 2.84-3.02
Er2 0.8649 0.8649 0.8649  9 Cu 2.84-3.02
Zn1 0.0000 0.0000 0.0000  18 Cu 2.92-3.23
Cu1 0.0794 0.5833 0.5833  7 Cu 2.47-2.55
Cu2 0.3330 0.3330 0.3330  6 Cu 2.47-2.50
Cu3 0.4167 0.4167 0.9206  7 Cu 2.47-2.55
Cu4 0.4167 0.9206 0.4167  7 Cu 2.47-2.55
Cu5 0.5000 0.5000 0.5000  6 Cu 2.54
Cu6 0.5833 0.0794 0.5833  7 Cu 2.47-2.55
Cu7 0.5833 0.5833 0.0794  7 Cu 2.47-2.55
Cu8 0.6670 0.6670 0.6670  6 Cu 2.47-2.50
Cu9 0.9206 0.4167 0.4167  7 Cu 2.47-2.55

=====

# 4
# ErZn2Cu4

ErZn2Cu4 after structural relaxation (PBE, the Alexandria database).

Properties
**ΔE to the lowest computed polymorph**: 12.18 kcal/mol of atoms
**SG**: I4/mmm (139)

Lattice parameters (Å, degrees): 7.3330 7.3330 5.0770 90.00 90.00 90.00
Closest atoms and distances in Å follow each position.
Fractional positions:
Er1 0.0000 0.0000 0.0000  8 Cu 3.02
Er2 0.5000 0.5000 0.5000  8 Cu 3.02
Zn1 0.0000 0.5000 0.2500  4 Cu 2.39, 2 Zn 2.54
Zn2 0.0000 0.5000 0.7500  4 Cu 2.39, 2 Zn 2.54
Zn3 0.5000 0.0000 0.2500  4 Cu 2.39, 2 Zn 2.54
Zn4 0.5000 0.0000 0.7500  4 Cu 2.39, 2 Zn 2.54
Cu1 0.0000 0.2238 0.5000  2 Cu 2.32, 2 Zn 2.39
Cu2 0.0000 0.7762 0.5000  2 Cu 2.32, 2 Zn 2.39
Cu3 0.2238 0.0000 0.5000  2 Cu 2.32, 2 Zn 2.39
Cu4 0.2762 0.5000 0.0000  2 Cu 2.32, 2 Zn 2.39
Cu5 0.5000 0.2762 0.0000  2 Cu 2.32, 2 Zn 2.39
Cu6 0.5000 0.7238 0.0000  2 Cu 2.32, 2 Zn 2.39
Cu7 0.7238 0.5000 0.0000  2 Cu 2.32, 2 Zn 2.39
Cu8 0.7762 0.0000 0.5000  2 Cu 2.32, 2 Zn 2.39

=====

# 5
# Er3Zn2Cu4

Er3Zn2Cu4 after structural relaxation (PBE, the Alexandria database).

Properties
**ΔE to the lowest computed polymorph**: 0.00 kcal/mol of atoms
**SG**: C2/m (12)

Lattice parameters (Å, degrees): 5.5429 5.5429 8.2713 112.34 112.34 45.65
Closest atoms and distances in Å follow each position.
Fractional positions:
Er1 0.0000 0.0000 0.0000  8 Cu 3.04-3.16, 4 Zn 3.22
Er2 0.3525 0.3525 0.3120  7 Cu 2.86-3.00, 4 Zn 3.01-3.10
Er3 0.6475 0.6475 0.6880  7 Cu 2.86-3.00, 4 Zn 3.01-3.10
Zn1 0.3529 0.3529 0.6875  4 Cu 2.51-2.80
Zn2 0.6471 0.6471 0.3125  4 Cu 2.51-2.80
Cu1 0.0772 0.0772 0.4115  3 Zn 2.51-2.80, 1 Cu 2.56
Cu2 0.2732 0.2732 0.9378  2 Cu 2.51, 1 Zn 2.52
Cu3 0.7268 0.7268 0.0622  2 Cu 2.51, 1 Zn 2.52
Cu4 0.9228 0.9228 0.5885  3 Zn 2.51-2.80, 1 Cu 2.56

=====

# 6
# Er2Zn15Cu2

Er2Zn15Cu2 after structural relaxation (PBE, the Alexandria database).

Properties
**SG**: R-3m (166)

Lattice parameters (Å, degrees): 6.7355 6.7355 6.7355 82.62 82.62 82.62
Closest atoms and distances in Å follow each position.
Fractional positions:
Er1 0.1654 0.1654 0.1654  1 Cu 3.05, 15 Zn 3.16-3.38
Er2 0.8346 0.8346 0.8346  1 Cu 3.05, 15 Zn 3.16-3.38
Zn1 0.0000 0.5000 0.5000  8 Zn 2.56-2.60, 2 Cu 2.71
Zn2 0.1475 0.1475 0.6576  8 Zn 2.55-2.74, 1 Cu 2.83
Zn3 0.1475 0.6576 0.1475  8 Zn 2.55-2.74, 1 Cu 2.83
Zn4 0.2079 0.5000 0.7921  8 Zn 2.56-2.74
Zn5 0.2079 0.7921 0.5000  8 Zn 2.56-2.74
Zn6 0.3424 0.8525 0.8525  8 Zn 2.55-2.74, 1 Cu 2.83
Zn7 0.5000 0.0000 0.5000  8 Zn 2.56-2.60, 2 Cu 2.71
Zn8 0.5000 0.2079 0.7921  8 Zn 2.56-2.74
Zn9 0.5000 0.5000 0.0000  8 Zn 2.56-2.60, 2 Cu 2.71
Zn10 0.5000 0.7921 0.2079  8 Zn 2.56-2.74
Zn11 0.6576 0.1475 0.1475  8 Zn 2.55-2.74, 1 Cu 2.83
Zn12 0.7921 0.2079 0.5000  8 Zn 2.56-2.74
Zn13 0.7921 0.5000 0.2079  8 Zn 2.56-2.74
Zn14 0.8525 0.3424 0.8525  8 Zn 2.55-2.74, 1 Cu 2.83
Zn15 0.8525 0.8525 0.3424  8 Zn 2.55-2.74, 1 Cu 2.83
Cu1 0.3989 0.3989 0.3989  1 Cu 2.64, 12 Zn 2.71-2.92
Cu2 0.6011 0.6011 0.6011  1 Cu 2.64, 12 Zn 2.71-2.92

=====

# 7
# Er5Zn2Cu12

Er5Zn2Cu12 after structural relaxation (PBE, the Alexandria database).

Properties
**SG**: C2/m (12)

Lattice parameters (Å, degrees): 8.0127 8.0127 6.4851 91.99 91.99 49.68
Closest atoms and distances in Å follow each position.
Fractional positions:
Er1 0.0000 0.0000 0.0000  8 Cu 2.74-2.86
Er2 0.2436 0.2436 0.9400  10 Cu 2.89-3.07
Er3 0.3037 0.3037 0.4558  7 Cu 2.78-2.99
Er4 0.6963 0.6963 0.5442  7 Cu 2.78-2.99
Er5 0.7564 0.7564 0.0600  10 Cu 2.89-3.07
Zn1 0.2875 0.7125 0.5000  8 Cu 2.57-2.69, 1 Zn 2.86
Zn2 0.7125 0.2875 0.5000  8 Cu 2.57-2.69, 1 Zn 2.86
Cu1 0.0488 0.6741 0.7436  3 Cu 2.49-2.58, 1 Zn 2.69
Cu2 0.1097 0.1097 0.5951  2 Zn 2.57, 4 Cu 2.58-2.66
Cu3 0.2081 0.5904 0.1503  5 Cu 2.57-2.80, 1 Zn 2.66, 2 Er 2.74-2.78
Cu4 0.3259 0.9512 0.2564  3 Cu 2.49-2.58, 1 Zn 2.69
Cu5 0.4096 0.7919 0.8497  5 Cu 2.57-2.80, 1 Zn 2.66, 2 Er 2.74-2.78
Cu6 0.4469 0.4469 0.8261  7 Cu 2.49-2.68, 2 Zn 2.69
Cu7 0.5531 0.5531 0.1739  7 Cu 2.49-2.68, 2 Zn 2.69
Cu8 0.5904 0.2081 0.1503  5 Cu 2.57-2.80, 1 Zn 2.66, 2 Er 2.74-2.78
Cu9 0.6741 0.0488 0.7436  3 Cu 2.49-2.58, 1 Zn 2.69
Cu10 0.7919 0.4096 0.8497  5 Cu 2.57-2.80, 1 Zn 2.66, 2 Er 2.74-2.78
Cu11 0.8903 0.8903 0.4049  2 Zn 2.57, 4 Cu 2.58-2.66
Cu12 0.9512 0.3259 0.2564  3 Cu 2.49-2.58, 1 Zn 2.69

=====

# 8
# ErZn2Cu10

ErZn2Cu10 after structural relaxation (PBE, the Alexandria database).

Properties
**SG**: Fmmm (69)

Lattice parameters (Å, degrees): 8.5311 6.5720 6.4403 81.93 49.70 48.37
Closest atoms and distances in Å follow each position.
Fractional positions:
Er1 0.0000 0.0000 0.0000  16 Cu 3.03-3.22, 4 Zn 3.29
Zn1 0.0000 0.5000 0.0000  2 Zn 2.44, 8 Cu 2.49-2.63
Zn2 0.5000 0.0000 0.5000  2 Zn 2.44, 8 Cu 2.49-2.63
Cu1 0.0000 0.0000 0.5000  10 Cu 2.44-2.59
Cu2 0.0054 0.6452 0.3548  7 Cu 2.48-2.77, 2 Zn 2.63
Cu3 0.2807 0.5018 0.4982  7 Cu 2.45-2.70, 2 Zn 2.49
Cu4 0.3548 0.9946 0.0054  7 Cu 2.48-2.77, 2 Zn 2.63
Cu5 0.4982 0.7193 0.2807  7 Cu 2.45-2.70, 2 Zn 2.49
Cu6 0.5000 0.5000 0.0000  10 Cu 2.44-2.59
Cu7 0.5018 0.2807 0.7193  7 Cu 2.45-2.70, 2 Zn 2.49
Cu8 0.6452 0.0054 0.9946  7 Cu 2.48-2.77, 2 Zn 2.63
Cu9 0.7193 0.4982 0.5018  7 Cu 2.45-2.70, 2 Zn 2.49
Cu10 0.9946 0.3548 0.6452  7 Cu 2.48-2.77, 2 Zn 2.63

=====

Record order is preserved below.
V: 206.0, 160.9, 181.2, 273.0, 165.6, 298.6, 317.2, 177.4 Å³/cell
Record order is preserved below.
Spin magnetization: 0.00, 0.00, 0.00, 0.00, 0.00, 0.00, 0.00, 0.00 μB/cell
Record order is preserved below.
VASP energy: -4.3422, -3.9170, -4.0219, -3.0653, -3.9277, -2.1275, -4.0955, -3.8025 eV/atom